Sr2Ac3UN6 | PBE | optimized geometry

Geometry as extended XYZ:
```
12
Lattice="3.263 -5.660 0.000 3.263 5.660 0.000 -2.119 0.000 6.140" Properties=species:S:1:pos:R:3 pbc="T T T"
Sr 3.263 3.772 0.000
Sr 3.263 -3.772 0.000
Ac -1.060 0.000 3.070
Ac 2.203 1.860 3.070
Ac 2.203 -1.860 3.070
U 3.263 0.000 0.000
N 0.244 1.524 4.804
N 1.395 0.000 1.515
N 0.244 -1.524 4.804
N 4.162 1.524 1.336
N 3.011 0.000 4.625
N 4.162 -1.524 1.336
```

Computed properties:
Magnetic moment, μB/f.u.: 0.00
SG: C2/m (12)
Fermi-level density of states, states/eV/f.u.: 3.48
ΔE_f (raw), eV per atom: -1.10